Entry 1:
A plane-wave DFT calculation with PBE-GGA was carried out for an optimized crystal structure of LiCaSc2.

## Properties
Space-group type: No. 166
Energy of formation (eV per atom): 0.28
Raw total energy (eV/atom): -3.8693

abc: 11.2947 11.2947 11.2947
angles: 17.06 17.06 17.06
With the nearest neighbours (Å) after each atom.
Atoms (fractional coordinates):
Ca: 0.2500 0.2500 0.2500  6 Ca 3.35, 6 Sc 3.58
Sc: 0.0070 0.0070 0.0070  3 Li 3.20, 6 Sc 3.35, 3 Ca 3.58
Sc: 0.4930 0.4930 0.4930  3 Li 3.20, 6 Sc 3.35, 3 Ca 3.58
Li: 0.7500 0.7500 0.7500  6 Sc 3.20, 6 Li 3.35

---

Entry 2:
A plane-wave DFT calculation with PBE-GGA was carried out for an optimized crystal structure of LiCaSc2.

## Properties
Space-group type: No. 225
Energy of formation (eV per atom): 0.35
Raw total energy (eV/atom): -3.7992

abc: 5.2999 5.2999 5.2999
angles: 60.00 60.00 60.00
With the nearest neighbours (Å) after each atom.
Atoms (fractional coordinates):
Sc: 0.7500 0.7500 0.7500  4 Ca 3.25, 4 Li 3.25
Sc: 0.2500 0.2500 0.2500  4 Li 3.25, 4 Ca 3.25
Li: 0.0000 0.0000 0.0000  8 Sc 3.25
Ca: 0.5000 0.5000 0.5000  8 Sc 3.25

---

Entry 3:
A plane-wave DFT calculation with PBE-GGA was carried out for an optimized crystal structure of LiCaSc.

## Properties
Space-group type: No. 107
Energy of formation (eV per atom): 0.20
Raw total energy (eV/atom): -3.2152

abc: 6.9180 6.9180 6.9180
angles: 149.96 149.96 43.00
With the nearest neighbours (Å) after each atom.
Atoms (fractional coordinates):
Ca: 0.9899 0.9899 0.0000  4 Li 3.33, 4 Ca 3.59, 4 Sc 3.60
Li: 0.3217 0.3217 0.0000  4 Sc 3.06, 4 Ca 3.33
Sc: 0.6885 0.6885 0.0000  4 Li 3.06

---

Entry 4:
A plane-wave DFT calculation with PBE-GGA was carried out for an optimized crystal structure of Li2CaSc.

## Properties
Space-group type: No. 123
Energy of formation (eV per atom): 0.18
Raw total energy (eV/atom): -2.8592

abc: 3.6571 5.2651 5.2651
angles: 90.00 90.00 90.00
With the nearest neighbours (Å) after each atom.
Atoms (fractional coordinates):
Sc: 0.5000 0.0000 0.0000  8 Li 3.21
Ca: 0.5000 0.5000 0.5000  8 Li 3.21
Li: 0.0000 0.0000 0.5000  4 Ca 3.21, 4 Sc 3.21
Li: 0.0000 0.5000 0.0000  4 Ca 3.21, 4 Sc 3.21

---

Entry 5:
A plane-wave DFT calculation with PBE-GGA was carried out for an optimized crystal structure of LiCaSc2.

## Properties
Space-group type: No. 47
Energy of formation (eV per atom): 0.32
Raw total energy (eV/atom): -3.8279

abc: 3.3203 5.2028 6.2754
angles: 90.00 90.00 90.00
With the nearest neighbours (Å) after each atom.
Atoms (fractional coordinates):
Sc: 0.0000 0.0000 0.5098  4 Sc 3.01-3.32
Sc: 0.0000 0.0000 0.9902  4 Sc 3.01-3.32
Li: 0.5000 0.5000 0.7500  2 Ca 3.14, 2 Li 3.32, 8 Sc 3.43
Ca: 0.5000 0.5000 0.2500  2 Li 3.14, 2 Ca 3.32, 8 Sc 3.49

---

Entry 6:
A plane-wave DFT calculation with PBE-GGA was carried out for an optimized crystal structure of LiCa2Sc.

## Properties
Space-group type: No. 216
Energy of formation (eV per atom): 0.28
Raw total energy (eV/atom): -2.7840

abc: 5.6171 5.6171 5.6171
angles: 60.00 60.00 60.00
With the nearest neighbours (Å) after each atom.
Atoms (fractional coordinates):
Sc: 0.7500 0.7500 0.7500  4 Ca 3.44, 4 Li 3.44
Li: 0.5000 0.5000 0.5000  4 Sc 3.44, 4 Ca 3.44
Ca: 0.0000 0.0000 0.0000  4 Ca 3.44, 4 Sc 3.44
Ca: 0.2500 0.2500 0.2500  4 Li 3.44, 4 Ca 3.44

---

Result set for V: 27.03, 26.32, 27.59, 25.34, 27.10, 31.33 Å³ per atom, one per record in the order listed.
Result set for N(E_F): 1.6705, 2.5716, 1.6555, 1.3299, 1.7355, 1.7796 states/eV per atom, one per record in the order listed.